Crystalline Gd3ZnIn2Pt2Au at its relaxed geometry, computed with PBE-GGA.

The structure in POSCAR format:
```
Gd3ZnIn2Pt2Au
1.0
3.9193 0.0000 0.0000
0.0000 6.6370 3.8190
0.0000 -6.6370 3.8190
Gd Zn In Pt Au
3 1 2 2 1
Direct
0.0000 0.0000 0.0000
0.0000 0.4295 0.8340
0.0000 0.8340 0.4295
0.5000 0.6907 0.6907
0.5000 0.1630 0.4192
0.5000 0.4192 0.1630
0.5000 0.0843 0.7536
0.5000 0.7536 0.0843
0.0000 0.4450 0.4450
```

Crystalline Gd2In6Si4Au at its relaxed geometry, computed with PBE-GGA.

The structure in POSCAR format:
```
Gd2In6Si4Au
1.0
2.2680 1.3094 17.4902
-2.2680 1.3094 17.4902
0.0000 -2.6189 17.4902
Gd In Si Au
2 6 4 1
Direct
0.0640 0.0640 0.0640
0.9360 0.9360 0.9360
0.1855 0.1855 0.1855
0.3136 0.3136 0.3136
0.4438 0.4438 0.4438
0.5562 0.5562 0.5562
0.6864 0.6864 0.6864
0.8145 0.8145 0.8145
0.2398 0.2398 0.2398
0.3667 0.3667 0.3667
0.6333 0.6333 0.6333
0.7602 0.7602 0.7602
0.5000 0.5000 0.5000
```

PBE-GGA Gd2IrAu, optimized geometry; ΔE_f = -0.812 eV per atom
1.0
4.4779 0.0000 0.0000
0.0000 3.8578 0.0000
0.0000 0.0000 10.6485
Gd Ir Au
4 2 2
Direct
0.0000 0.0000 0.0000
0.0000 0.5000 0.5000
0.5000 0.0000 0.2796
0.5000 0.5000 0.7796
0.0000 0.0000 0.7319
0.0000 0.5000 0.2319
0.5000 0.0000 0.5583
0.5000 0.5000 0.0583

PBE-GGA Gd2IrAu, optimized geometry; ΔE_f = -0.814 eV per atom
1.0
3.5268 0.0000 0.0000
0.0000 3.5268 0.0000
0.0000 0.0000 7.1793
Gd Ir Au
2 1 1
Direct
0.0000 0.0000 0.2327
0.0000 0.0000 0.7673
0.5000 0.5000 0.0000
0.5000 0.5000 0.5000

Crystalline Gd3Mg3IrAu2 at its relaxed geometry, computed with PBE-GGA.

The structure in POSCAR format:
```
Gd3Mg3IrAu2
1.0
7.4218 0.0000 0.0000
-3.7109 6.4275 0.0000
0.0000 0.0000 4.2483
Gd Mg Ir Au
3 3 1 2
Direct
0.0000 0.3985 0.0000
0.3985 0.0000 0.0000
0.6015 0.6015 0.0000
0.0000 0.7627 0.5000
0.2373 0.2373 0.5000
0.7627 0.0000 0.5000
0.0000 0.0000 0.0000
0.3333 0.6667 0.5000
0.6667 0.3333 0.5000
```

Crystalline TbGd2Mg3Ir2Au at its relaxed geometry, computed with PBE-GGA.

The structure in POSCAR format:
```
TbGd2Mg3Ir2Au
1.0
4.0364 0.0000 0.0000
0.0000 6.4459 3.7234
0.0000 -6.4459 3.7234
Tb Gd Mg Ir Au
1 2 3 2 1
Direct
0.0000 0.0000 0.0000
0.0000 0.1633 0.5818
0.0000 0.5818 0.1633
0.5000 0.3286 0.3286
0.5000 0.5821 0.8348
0.5000 0.8348 0.5821
0.5000 0.2478 0.9154
0.5000 0.9154 0.2478
0.0000 0.5824 0.5824
```

Crystalline Tb2GdMg3Ir2Au at its relaxed geometry, computed with PBE-GGA.

The structure in POSCAR format:
```
Tb2GdMg3Ir2Au
1.0
4.0329 0.0000 0.0000
0.0000 6.4421 3.7174
0.0000 -6.4421 3.7174
Tb Gd Mg Ir Au
2 1 3 2 1
Direct
0.0000 0.2091 0.7909
0.0000 0.7909 0.2091
0.0000 0.3723 0.3723
0.5000 0.0436 0.0436
0.5000 0.5379 0.7912
0.5000 0.7912 0.5379
0.5000 0.1236 0.4577
0.5000 0.4577 0.1236
0.0000 0.7914 0.7914
```

Crystalline GdSi2IrAu at its relaxed geometry, computed with PBE-GGA.

The structure in POSCAR format:
```
GdSi2IrAu
1.0
4.1873 0.0000 0.0000
0.0000 4.1873 0.0000
0.0000 0.0000 10.1015
Gd Si Ir Au
2 4 2 2
Direct
0.0000 0.0000 0.0000
0.5000 0.5000 0.5000
0.0000 0.0000 0.3845
0.0000 0.0000 0.6155
0.5000 0.5000 0.1155
0.5000 0.5000 0.8845
0.0000 0.5000 0.2500
0.5000 0.0000 0.7500
0.0000 0.5000 0.7500
0.5000 0.0000 0.2500
```

Crystalline KGdAu at its relaxed geometry, computed with PBE-GGA.

The structure in POSCAR format:
```
KGdAu
1.0
7.1096 0.0000 0.0000
0.0000 7.1096 0.0000
0.0000 0.0000 7.1096
K Gd Au
4 4 4
Direct
0.0000 0.0000 0.0000
0.0000 0.5000 0.5000
0.5000 0.0000 0.5000
0.5000 0.5000 0.0000
0.2500 0.2500 0.2500
0.2500 0.7500 0.7500
0.7500 0.2500 0.7500
0.7500 0.7500 0.2500
0.2500 0.2500 0.7500
0.2500 0.7500 0.2500
0.7500 0.2500 0.2500
0.7500 0.7500 0.7500
```

PBE-GGA LaGdAu2, optimized geometry; offset from the most stable computed form = 0.000 eV per atom; ΔE_f = -0.847 eV per atom
1.0
4.8056 0.0000 0.0000
0.0000 7.4449 0.0000
0.0000 0.0000 5.8307
La Gd Au
2 2 4
Direct
0.0000 0.0648 0.0000
0.5000 0.9352 0.5000
0.0000 0.5648 0.2092
0.5000 0.4352 0.7092
0.0000 0.2275 0.5097
0.0000 0.6920 0.7026
0.5000 0.3080 0.2026
0.5000 0.7725 0.0097

PBE-GGA LaGdAu2, optimized geometry; offset from the most stable computed form = 0.007 eV per atom; ΔE_f = -0.839 eV per atom
1.0
4.8141 0.0000 0.0000
0.0000 5.8706 0.0000
0.0000 0.0000 7.4000
La Gd Au
2 2 4
Direct
0.0000 0.1058 0.0000
0.0000 0.8942 0.5000
0.5000 0.3961 0.6304
0.5000 0.6039 0.1304
0.0000 0.4065 0.3594
0.0000 0.5935 0.8594
0.5000 0.1029 0.2764
0.5000 0.8971 0.7764

PBE-GGA LaGd3Au4, optimized geometry; ΔE_f = -0.852 eV per atom
1.0
5.7793 0.0000 0.0000
0.0000 4.7589 0.0000
-0.1736 0.0000 7.3313
La Gd Au
1 3 4
Direct
0.0000 0.0000 0.0000
0.2114 0.0000 0.4960
0.4978 0.5000 0.1321
0.7074 0.5000 0.6242
0.0097 0.5000 0.2853
0.2084 0.5000 0.7603
0.5050 0.0000 0.8506
0.6965 0.0000 0.3602

PBE-GGA LaGdAu6, optimized geometry; ΔE_f = -0.698 eV per atom
1.0
5.0976 0.0000 0.0000
0.0000 6.3610 0.0000
0.0000 0.0000 5.1953
La Gd Au
1 1 6
Direct
0.0000 0.0000 0.0000
0.5000 0.5000 0.3161
0.0000 0.2694 0.4968
0.0000 0.5000 0.9922
0.0000 0.7306 0.4968
0.5000 0.0000 0.3451
0.5000 0.2526 0.8204
0.5000 0.7474 0.8204

PBE-GGA LaGdAu2, optimized geometry; offset from the most stable computed form = 0.010 eV per atom; ΔE_f = -0.837 eV per atom
1.0
4.7748 0.0000 0.0000
0.0000 3.8462 0.0000
0.0000 0.0000 11.2569
La Gd Au
2 2 4
Direct
0.0000 0.0000 0.0000
0.0000 0.5000 0.5000
0.5000 0.0000 0.7241
0.5000 0.5000 0.2241
0.0000 0.0000 0.2729
0.0000 0.5000 0.7729
0.5000 0.0000 0.4491
0.5000 0.5000 0.9491

PBE-GGA LaGdAu2, optimized geometry; offset from the most stable computed form = 0.005 eV per atom; ΔE_f = -0.842 eV per atom
1.0
5.8506 0.0000 0.0000
0.0000 4.7834 0.0000
-0.3072 0.0000 7.4171
La Gd Au
2 2 4
Direct
0.1486 0.2500 0.1896
0.8514 0.7500 0.8104
0.3583 0.2500 0.6805
0.6417 0.7500 0.3195
0.1613 0.7500 0.4682
0.3541 0.7500 0.9497
0.6459 0.2500 0.0503
0.8387 0.2500 0.5318

PBE-GGA La3GdAu4, optimized geometry; ΔE_f = -0.836 eV per atom
1.0
5.9133 0.0000 0.0000
0.0000 4.8322 0.0000
-0.1362 0.0000 7.4925
La Gd Au
3 1 4
Direct
0.0000 0.0000 0.0000
0.2125 0.0000 0.4950
0.7089 0.5000 0.6265
0.4976 0.5000 0.1301
0.0069 0.5000 0.2676
0.2086 0.5000 0.7777
0.5033 0.0000 0.8696
0.6950 0.0000 0.3410

PBE-GGA LaGdAu, optimized geometry; ΔE_f = -0.012 eV per atom
1.0
6.9968 0.0000 0.0000
0.0000 6.9968 0.0000
0.0000 0.0000 6.9968
La Gd Au
4 4 4
Direct
0.0000 0.0000 0.0000
0.0000 0.5000 0.5000
0.5000 0.0000 0.5000
0.5000 0.5000 0.0000
0.2500 0.2500 0.7500
0.2500 0.7500 0.2500
0.7500 0.2500 0.2500
0.7500 0.7500 0.7500
0.0000 0.0000 0.5000
0.0000 0.5000 0.0000
0.5000 0.0000 0.0000
0.5000 0.5000 0.5000

Crystalline LaGd2Mg3Au3 at its relaxed geometry, computed with PBE-GGA.

The structure in POSCAR format:
```
LaGd2Mg3Au3
1.0
4.2002 0.0000 0.0000
0.0000 6.6522 3.8484
0.0000 -6.6522 3.8484
La Gd Mg Au
1 2 3 3
Direct
0.0000 0.0000 0.0000
0.0000 0.4146 0.8269
0.0000 0.8269 0.4146
0.5000 0.1730 0.4187
0.5000 0.4187 0.1730
0.5000 0.6539 0.6539
0.0000 0.4194 0.4194
0.5000 0.0822 0.7398
0.5000 0.7398 0.0822
```

Crystalline La2GdMg3Pd2Au at its relaxed geometry, computed with PBE-GGA.

The structure in POSCAR format:
```
La2GdMg3Pd2Au
1.0
4.1744 0.0000 0.0000
0.0000 6.6861 3.8208
0.0000 -6.6861 3.8208
La Gd Mg Pd Au
2 1 3 2 1
Direct
0.0000 0.2088 0.7912
0.0000 0.7912 0.2088
0.0000 0.6209 0.6209
0.5000 0.2139 0.4522
0.5000 0.4522 0.2139
0.5000 0.9610 0.9610
0.5000 0.5437 0.8713
0.5000 0.8713 0.5437
0.0000 0.2150 0.2150
```

Crystalline LaGd2Mg3Pd2Au at its relaxed geometry, computed with PBE-GGA.

The structure in POSCAR format:
```
LaGd2Mg3Pd2Au
1.0
4.1319 0.0000 0.0000
0.0000 6.5504 3.8232
0.0000 -6.5504 3.8232
La Gd Mg Pd Au
1 2 3 2 1
Direct
0.0000 0.0000 0.0000
0.0000 0.4193 0.8324
0.0000 0.8324 0.4193
0.5000 0.1735 0.4237
0.5000 0.4237 0.1735
0.5000 0.6605 0.6605
0.5000 0.0868 0.7496
0.5000 0.7496 0.0868
0.0000 0.4246 0.4246
```

Values of DFT total energy, in order: -44.12 -52.82 -49.36 -24.68 -39.96 -45.66 -45.65 -62.30 -28.46 -38.99 -38.93 -38.77 -34.76 -38.92 -38.95 -39.17 -51.52 -34.76 -38.83 -38.58, all in eV/cell.